No. 1
VASP calculation (PBE) on crystalline ScCuF2 at its relaxed geometry.

abc: 9.070 9.070 9.070
angles: 18.86 18.86 18.86
Sites, in units of the cell vectors:
Cu  0.000  0.000  0.000
F  0.881  0.881  0.881
F  0.119  0.119  0.119
Sc  0.500  0.500  0.500

* crystal system: trigonal
* excess energy over the best structure of this formula in the dataset: 0.000 eV per atom
* formation energy from raw total energies: -1.9678 eV per atom
* D(E_F): 1.8 states/eV per cell
* V: 68.1 Å³ per cell
* total DFT energy (no corrections): -22.0 eV/cell
* symmetry: R-3m, No. 166



No. 2
VASP calculation (PBE) on crystalline ScCuF2 at its relaxed geometry.

abc: 4.136 4.136 4.136
angles: 60.00 60.00 60.00
Sites, in units of the cell vectors:
F  0.750  0.750  0.750
F  0.250  0.250  0.250
Sc  0.000  0.000  0.000
Cu  0.500  0.500  0.500

* crystal system: cubic
* excess energy over the best structure of this formula in the dataset: 0.379 eV per atom
* formation energy from raw total energies: -1.5885 eV per atom
* D(E_F): 0.1 states/eV per cell
* V: 50.0 Å³ per cell
* total DFT energy (no corrections): -20.5 eV/cell
* symmetry: Fm-3m, No. 225



No. 3
VASP calculation (PBE) on crystalline ScCuF at its relaxed geometry.

abc: 3.066 3.065 12.756
angles: 90.00 90.00 120.01
Sites, in units of the cell vectors:
Cu  0.333  0.667  0.000
Cu  0.333  0.666  0.500
F  0.333  0.667  0.236
F  0.333  0.667  0.764
Sc  0.667  0.333  0.662
Sc  0.667  0.333  0.338

* crystal system: hexagonal
* formation energy from raw total energies: -1.2857 eV per atom
* D(E_F): 3.1 states/eV per cell
* V: 103.8 Å³ per cell
* total DFT energy (no corrections): -32.3 eV/cell
* symmetry: P-6m2, No. 187



No. 4
VASP calculation (PBE) on crystalline Sc3CuF at its relaxed geometry.

abc: 4.411 4.411 4.411
angles: 90.00 90.00 90.00
Sites, in units of the cell vectors:
Sc  0.500  0.000  0.000
Sc  0.000  0.500  0.000
Sc  0.000  0.000  0.500
F  0.000  0.000  0.000
Cu  0.500  0.500  0.500

* crystal system: cubic
* excess energy over the best structure of this formula in the dataset: 0.000 eV per atom
* formation energy from raw total energies: -0.8338 eV per atom
* D(E_F): 2.7 states/eV per cell
* V: 85.8 Å³ per cell
* total DFT energy (no corrections): -29.1 eV/cell
* symmetry: Pm-3m, No. 221



No. 5
VASP calculation (PBE) on crystalline ScCu2F6 at its relaxed geometry.

abc: 3.859 5.804 6.040
angles: 70.67 71.37 70.58
Sites, in units of the cell vectors:
F  0.754  0.683  0.809
F  0.996  0.205  0.802
F  0.384  0.705  0.528
F  0.246  0.317  0.191
F  0.004  0.795  0.198
F  0.616  0.295  0.472
Cu  0.815  0.222  0.148
Cu  0.185  0.778  0.852
Sc  0.000  0.500  0.500

* crystal system: monoclinic
* formation energy from raw total energies: -2.4105 eV per atom
* D(E_F): 4.1 states/eV per cell
* V: 117.0 Å³ per cell
* total DFT energy (no corrections): -47.4 eV/cell
* symmetry: C2/m, No. 12



No. 6
VASP calculation (PBE) on crystalline ScCuF4 at its relaxed geometry.

abc: 5.869 5.869 4.973
angles: 126.16 126.16 90.00
Sites, in units of the cell vectors:
F  0.725  0.242  0.086
F  0.156  0.275  0.914
F  0.361  0.844  0.086
F  0.758  0.639  0.914
Cu  0.500  0.500  0.000
Sc  0.750  0.250  0.500

* crystal system: tetragonal
* formation energy from raw total energies: -2.7379 eV per atom
* V: 94.4 Å³ per cell
* total DFT energy (no corrections): -34.3 eV/cell
* symmetry: I-4, No. 82